A geometry-optimized CsAu2F7 structure. Source: Alexandria via LeMat-Bulk, functional PBE.

Structure (CIF):
```
data_CsAu2F7
_symmetry_space_group_name_H-M 'P 1'
_symmetry_Int_Tables_number 1
_cell_length_a 8.0217
_cell_length_b 8.0217
_cell_length_c 7.5595
_cell_angle_alpha 66.62
_cell_angle_beta 66.62
_cell_angle_gamma 87.03
loop_
_symmetry_equiv_pos_as_xyz
'x,y,z'
loop_
_atom_site_label
_atom_site_fract_x
_atom_site_fract_y
_atom_site_fract_z
F1 0.5197 0.0122 0.2650
F2 0.8205 0.1795 0.2500
F3 0.1795 0.8205 0.7500
F4 0.4803 0.9878 0.7350
F5 0.6675 0.6025 0.9571
F6 0.3325 0.3975 0.0429
F7 0.3975 0.3325 0.5429
F8 0.9878 0.4803 0.2350
F9 0.8176 0.9103 0.9490
F10 0.9103 0.8176 0.4490
F11 0.0122 0.5197 0.7650
F12 0.6025 0.6675 0.4571
F13 0.0897 0.1824 0.5510
F14 0.1824 0.0897 0.0510
Au1 0.7165 0.9142 0.3551
Au2 0.0858 0.2835 0.1449
Au3 0.9142 0.7165 0.8551
Au4 0.2835 0.0858 0.6449
Cs1 0.6902 0.3098 0.7500
Cs2 0.3098 0.6902 0.2500
```

Properties
D(E_F): 0.000 states/eV per atom
crystal system: monoclinic
total moment: 0.0 μB per cell
formation energy from raw total energies: -142.7 kJ per mole of atoms